Model i:
GGA-PBE K4AgHg2, relaxed; ρ = 3.095 g/cm³; symmetry = No. 139
1.0
6.469 0.000 0.000
0.000 6.469 0.000
0.000 0.000 17.064
K Ag Hg
8 2 4
Cartesian
0.000 0.000 3.398
0.000 0.000 13.665
0.000 3.235 0.000
0.000 3.235 8.532
3.235 0.000 0.000
3.235 0.000 8.532
3.235 3.235 5.134
3.235 3.235 11.930
0.000 0.000 0.000
3.235 3.235 8.532
0.000 0.000 6.907
0.000 0.000 10.156
3.235 3.235 1.625
3.235 3.235 15.439


Model ii:
GGA-PBE K4AgHg2, relaxed; ρ = 3.893 g/cm³; symmetry = No. 63
1.0
2.972 -5.139 0.000
2.972 5.139 0.000
0.000 0.000 18.586
K Ag Hg
8 2 4
Cartesian
0.000 0.000 0.000
0.000 0.000 9.293
2.972 1.719 11.843
2.972 1.719 16.035
2.972 1.708 4.646
2.972 -1.708 13.939
2.972 -1.719 2.550
2.972 -1.719 6.743
2.972 5.135 4.646
2.972 -5.135 13.939
2.972 1.707 0.889
2.972 1.707 8.404
2.972 -1.707 10.182
2.972 -1.707 17.696


Each structure's energy above the most stable one, in kJ/mol of atoms: model i 5.2; model ii 0.0.


Model i:
GGA-PBE K4Ag2Hg, relaxed; ρ = 2.711 g/cm³; symmetry = No. 139
1.0
6.531 0.000 0.000
0.000 6.531 0.000
0.000 0.000 16.445
K Ag Hg
8 4 2
Cartesian
0.000 0.000 3.501
0.000 0.000 12.944
0.000 3.266 0.000
0.000 3.266 8.222
3.266 0.000 0.000
3.266 0.000 8.222
3.266 3.266 4.722
3.266 3.266 11.723
0.000 0.000 6.816
0.000 0.000 9.629
3.266 3.266 1.406
3.266 3.266 15.038
0.000 0.000 0.000
3.266 3.266 8.222


Model ii:
GGA-PBE K4Ag2Hg, relaxed; ρ = 3.197 g/cm³; symmetry = No. 8
1.0
6.728 -4.897 0.000
6.728 4.897 0.000
-3.387 0.000 9.030
K Ag Hg
8 4 2
Cartesian
0.000 0.000 0.000
-1.685 0.000 4.623
3.339 2.512 1.324
1.755 2.515 5.909
6.800 0.000 0.086
5.192 0.000 4.603
3.339 -2.512 1.324
1.755 -2.515 5.909
5.182 2.423 7.216
6.620 0.000 7.747
8.443 0.000 3.284
5.182 -2.423 7.216
-0.044 0.000 7.757
1.676 0.000 3.300


Each structure's energy above the most stable one, in kJ/mol of atoms: model i 12.8; model ii 0.0.


Model i:
GGA-PBE KAgHg4, relaxed; ρ = 8.636 g/cm³; symmetry = No. 12
1.0
8.873 -3.903 0.000
8.873 3.903 0.000
-0.894 0.000 5.271
K Ag Hg
2 2 8
Cartesian
3.058 0.000 1.156
13.793 0.000 4.115
7.733 0.000 3.851
9.119 0.000 1.421
6.354 1.689 1.687
8.873 2.479 0.000
4.754 0.000 4.144
10.497 1.689 3.584
6.354 -1.689 1.687
12.097 0.000 1.128
8.873 -2.479 0.000
10.497 -1.689 3.584


Model ii:
GGA-PBE KAgHg4, relaxed; ρ = 9.331 g/cm³; symmetry = No. 216
1.0
0.000 4.388 4.388
4.388 0.000 4.388
4.388 4.388 0.000
K Ag Hg
1 1 4
Cartesian
0.000 0.000 0.000
6.582 6.582 6.582
3.295 3.295 3.295
5.481 5.481 3.295
5.481 3.295 5.481
3.295 5.481 5.481


Each structure's energy above the most stable one, in kJ/mol of atoms: model i 0.0; model ii 7.2.


Model i:
GGA-PBE KNaAgHg, relaxed; ρ = 5.029 g/cm³; symmetry = No. 216
1.0
7.880 0.000 0.000
0.000 7.880 0.000
0.000 0.000 7.880
K Na Ag Hg
4 4 4 4
Cartesian
0.000 0.000 0.000
0.000 3.940 3.940
3.940 0.000 3.940
3.940 3.940 0.000
0.000 0.000 3.940
0.000 3.940 0.000
3.940 0.000 0.000
3.940 3.940 3.940
1.970 1.970 5.910
1.970 5.910 1.970
5.910 1.970 1.970
5.910 5.910 5.910
1.970 1.970 1.970
1.970 5.910 5.910
5.910 1.970 5.910
5.910 5.910 1.970


Model ii:
GGA-PBE KNaAgHg, relaxed; ρ = 4.650 g/cm³; symmetry = No. 160
1.0
5.027 0.000 0.000
-2.513 4.353 0.000
0.000 0.000 18.141
K Na Ag Hg
3 3 3 3
Cartesian
0.000 0.000 0.000
0.000 2.902 12.094
2.513 1.451 6.047
0.000 0.000 14.587
0.000 2.902 8.540
2.513 1.451 2.493
0.000 0.000 3.713
0.000 2.902 15.807
2.513 1.451 9.760
0.000 0.000 9.900
0.000 2.902 3.853
2.513 1.451 15.947


Each structure's energy above the most stable one, in kJ/mol of atoms: model i 3.3; model ii 0.0.